[1]
First-principles (GGA-PBEsol) data for crystalline FeN2F2 at its relaxed geometry, as listed in Alexandria via LeMat-Bulk.

Output
E_form (uncorrected) ... 0.33 eV/atom
D(E_F) ... 2.4 states/eV/cell
Uncorrected energy ... -28.22 eV per cell

abc: 3.549 3.549 3.715
angles: 90.00 90.00 90.00
Sites, in units of the cell vectors:
Fe (0.000, 0.000, 0.000)
N (0.000, 0.500, 0.000)
N (0.500, 0.000, 0.000)
F (0.000, 0.000, 0.500)
F (0.500, 0.500, 0.500)

[2]
First-principles (GGA-PBEsol) data for crystalline BaCaCd2 at its relaxed geometry, as listed in Alexandria via LeMat-Bulk.

Output
D(E_F) ... 3.1 states/eV/cell
E_form ... -1.1 eV per formula unit
Uncorrected energy ... -7.79 eV per cell

abc: 3.925 5.649 5.648
angles: 90.00 90.00 90.00
Sites, in units of the cell vectors:
Ba (0.000, 0.000, 0.000)
Ca (0.000, 0.500, 0.502)
Cd (0.500, 0.000, 0.500)
Cd (0.500, 0.500, 0.004)

[3]
First-principles (GGA-PBEsol) data for crystalline LiSiSb2I at its relaxed geometry, as listed in Alexandria via LeMat-Bulk.

Output
E_form (uncorrected) ... 0.33 eV/atom
D(E_F) ... 4.2 states/eV/cell
Uncorrected energy ... -16.96 eV per cell

abc: 5.153 5.153 5.885
angles: 90.00 90.00 90.00
Sites, in units of the cell vectors:
Li (0.000, 0.000, 0.000)
Si (0.500, 0.500, 0.500)
Sb (0.000, 0.500, 0.500)
Sb (0.500, 0.000, 0.500)
I (0.500, 0.500, 0.000)

[4]
First-principles (GGA-PBEsol) data for crystalline Ta2OsWF at its relaxed geometry, as listed in Alexandria via LeMat-Bulk.

Output
E_form (uncorrected) ... 1.54 eV/atom
D(E_F) ... 5.0 states/eV/cell
Uncorrected energy ... -45.35 eV per cell

abc: 4.824 4.824 4.715
angles: 90.00 90.00 90.00
Sites, in units of the cell vectors:
Ta (0.000, 0.500, 0.000)
Ta (0.500, 0.000, 0.000)
Os (0.000, 0.000, 0.000)
W (0.000, 0.000, 0.500)
F (0.500, 0.500, 0.500)

[5]
First-principles (GGA-PBEsol) data for crystalline BeSiP2H at its relaxed geometry, as listed in Alexandria via LeMat-Bulk.

Output
D(E_F) ... 2.1 states/eV/cell
Uncorrected energy ... -19.48 eV per cell

abc: 4.058 4.058 4.399
angles: 90.00 90.00 90.00
Sites, in units of the cell vectors:
Be (0.000, 0.000, 0.000)
Si (0.000, 0.000, 0.500)
P (0.000, 0.500, 0.000)
P (0.500, 0.000, 0.000)
H (0.500, 0.500, 0.500)

[6]
First-principles (GGA-PBEsol) data for crystalline Si2IrSe at its relaxed geometry, as listed in Alexandria via LeMat-Bulk.

Output
E_form (uncorrected) ... 0.06 eV/atom
D(E_F) ... 3.1 states/eV/cell
Uncorrected energy ... -49.84 eV per cell

abc: 5.014 5.014 5.106
angles: 90.00 90.00 90.00
Sites, in units of the cell vectors:
Si (0.000, 0.500, 0.000)
Si (0.000, 0.500, 0.500)
Si (0.500, 0.000, 0.000)
Si (0.500, 0.000, 0.500)
Ir (0.000, 0.000, 0.000)
Ir (0.500, 0.500, 0.500)
Se (0.000, 0.000, 0.500)
Se (0.500, 0.500, 0.000)